## AcPm3Pt2 (PBE-GGA)

Data for an optimized crystal structure of AcPm3Pt2. Values from VASP.

Output
Total moment (μB/cell): 0.00
ΔE_f (kJ/mol of formula units): -399

Quantum ESPRESSO input file:
```
&SYSTEM
  ibrav = 0, nat = 12, ntyp = 3
/
ATOMIC_SPECIES
Ac 227.00 Ac.upf
Pm 145.00 Pm.upf
Pt 195.08 Pt.upf
ATOMIC_POSITIONS crystal
Ac 0.154 0.154 0.253
Ac 0.846 0.846 0.747
Pm 0.055 0.055 0.739
Pm 0.306 0.306 0.009
Pm 0.395 0.395 0.490
Pm 0.605 0.605 0.510
Pm 0.694 0.694 0.991
Pm 0.945 0.945 0.261
Pt 0.197 0.197 0.640
Pt 0.488 0.488 0.139
Pt 0.512 0.512 0.861
Pt 0.803 0.803 0.360
CELL_PARAMETERS angstrom
8.912 -2.561 0.000
8.912 2.561 0.000
-4.387 0.000 7.686
```


## Ac6PmPt4 (PBE-GGA)

Data for an optimized crystal structure of Ac6PmPt4. Values from VASP.

Output
Total moment (μB/cell): 0.00
ΔE_f (kJ/mol of formula units): -843

Quantum ESPRESSO input file:
```
&SYSTEM
  ibrav = 0, nat = 11, ntyp = 3
/
ATOMIC_SPECIES
Ac 227.00 Ac.upf
Pm 145.00 Pm.upf
Pt 195.08 Pt.upf
ATOMIC_POSITIONS crystal
Ac 0.000 0.000 0.000
Ac 0.399 0.992 0.699
Ac 0.533 0.533 0.799
Ac 0.589 0.994 0.288
Ac 0.992 0.399 0.699
Ac 0.994 0.589 0.288
Pm 0.470 0.470 0.271
Pt 0.261 0.261 0.439
Pt 0.262 0.694 0.039
Pt 0.694 0.262 0.039
Pt 0.745 0.745 0.583
CELL_PARAMETERS angstrom
5.234 -5.268 0.000
5.234 5.268 0.000
-3.174 0.000 6.781
```


## AcPmPt3 (PBE-GGA)

Data for an optimized crystal structure of AcPmPt3. Values from VASP.

Output
Total moment (μB/cell): 0.00
ΔE_f (kJ/mol of formula units): -531

Quantum ESPRESSO input file:
```
&SYSTEM
  ibrav = 0, nat = 10, ntyp = 3
/
ATOMIC_SPECIES
Ac 227.00 Ac.upf
Pm 145.00 Pm.upf
Pt 195.08 Pt.upf
ATOMIC_POSITIONS crystal
Ac 0.074 0.926 0.750
Ac 0.926 0.074 0.250
Pm 0.206 0.794 0.250
Pm 0.794 0.206 0.750
Pt 0.313 0.687 0.250
Pt 0.375 0.625 0.750
Pt 0.472 0.528 0.750
Pt 0.528 0.472 0.250
Pt 0.625 0.375 0.250
Pt 0.687 0.313 0.750
CELL_PARAMETERS angstrom
2.044 -13.692 0.000
2.044 13.692 0.000
0.000 0.000 4.375
```


## AcPm2Pt (PBE-GGA)

Data for an optimized crystal structure of AcPm2Pt. Values from VASP.

Output
Total moment (μB/cell): 0.00
ΔE_f (kJ/mol of formula units): -198
Offset from the most stable computed form (meV/atom): 111.6

Quantum ESPRESSO input file:
```
&SYSTEM
  ibrav = 0, nat = 4, ntyp = 3
/
ATOMIC_SPECIES
Ac 227.00 Ac.upf
Pm 145.00 Pm.upf
Pt 195.08 Pt.upf
ATOMIC_POSITIONS crystal
Ac 0.000 0.000 0.000
Pm 0.500 0.500 0.321
Pm 0.500 0.500 0.679
Pt 0.000 0.000 0.500
CELL_PARAMETERS angstrom
3.696 0.000 0.000
0.000 3.696 0.000
0.000 0.000 9.195
```


Which value of ΔE_f does entry 2 give? -843 kJ/mol of formula units


Which value of total moment does entry 4 give? 0.00 μB/cell


Which value of total moment does entry 3 give? 0.00 μB/cell